This record from the Alexandria database describes a geometry-optimized BaCaGaP2 structure. The functional is GGA-PBE.

For the uncorrected energy, the calculation gives -4.2563 eV/atom. Its symmetry is No. 13. Its formation energy from the elements is -0.702 eV per atom.

Lattice parameters (Å, degrees): 5.2764 7.3263 7.8026 104.89 90.00 90.00
Closest atoms and distances in Å follow each position.
Sites, in units of the cell vectors:
Ca (0.5169, 0.0000, 0.7500)  4 P 2.91, 2 Ga 3.21
Ca (0.4831, 0.0000, 0.2500)  4 P 2.91, 2 Ga 3.21
P (0.7363, 0.7514, 0.9477)  1 Ga 2.24
P (0.7363, 0.2486, 0.5523)  1 Ga 2.24
P (0.2637, 0.7514, 0.4477)  1 Ga 2.24
P (0.2637, 0.2486, 0.0523)  1 Ga 2.24
Ga (0.0000, 0.0000, 0.0000)  2 P 2.24
Ga (0.0000, 0.0000, 0.5000)  2 P 2.24
Ba (0.7823, 0.5000, 0.2500)  6 P 3.28-3.44
Ba (0.2177, 0.5000, 0.7500)  6 P 3.28-3.44

---

This record from the Alexandria database describes a geometry-optimized Cs2BiRhI6 structure. The functional is GGA-PBE.

For the uncorrected energy, the calculation gives -2.9516 eV/atom. Its symmetry is No. 139. The formation energy (no corrections) comes out at -728 meV per atom.

Lattice parameters (Å, degrees): 8.3862 8.3862 8.3954 60.04 60.04 90.00
Closest atoms and distances in Å follow each position.
Sites, in units of the cell vectors:
I (0.7346, 0.7346, 0.0000)  1 Rh 2.78
I (0.2654, 0.2654, 0.0000)  1 Rh 2.78
I (0.2654, 0.7346, 0.0000)  1 Rh 2.78
I (0.2650, 0.2650, 0.4699)  1 Rh 2.79
I (0.7350, 0.7350, 0.5301)  1 Rh 2.79
I (0.7346, 0.2654, 0.0000)  1 Rh 2.78
Bi (0.0000, 0.0000, 0.0000)  6 I 3.15
Cs (0.7500, 0.2500, 0.5000)  12 I 4.20
Cs (0.2500, 0.7500, 0.5000)  12 I 4.20
Rh (0.5000, 0.5000, 0.0000)  6 I 2.78-2.79

---

This record from the Alexandria database describes a geometry-optimized Li8In3Ag structure. The functional is GGA-PBE.

For the uncorrected energy, the calculation gives -2.1840 eV/atom. Its symmetry is No. 121. Its formation energy from the elements is 0.014 eV per atom.

Lattice parameters (Å, degrees): 7.1036 7.1036 7.1036 94.51 117.43 117.43
Closest atoms and distances in Å follow each position.
Sites, in units of the cell vectors:
Li (0.0000, 0.8909, 0.6310)  1 Ag 2.67, 3 Li 2.70-2.74, 3 In 2.86-2.90
Li (0.2599, 0.3690, 0.3690)  1 Ag 2.67, 3 Li 2.70-2.74, 3 In 2.86-2.90
Li (0.5161, 0.7404, 0.7404)  1 Ag 2.53, 1 In 2.70, 2 Li 2.70-2.74
Li (0.0000, 0.6310, 0.8909)  1 Ag 2.67, 3 Li 2.70-2.74, 3 In 2.86-2.90
Li (0.0000, 0.7757, 0.2596)  1 Ag 2.53, 1 In 2.70, 2 Li 2.70-2.74
Li (0.0000, 0.2596, 0.7757)  1 Ag 2.53, 1 In 2.70, 2 Li 2.70-2.74
Li (0.7401, 0.1091, 0.1091)  1 Ag 2.67, 3 Li 2.70-2.74, 3 In 2.86-2.90
Li (0.4839, 0.2243, 0.2243)  1 Ag 2.53, 1 In 2.70, 2 Li 2.70-2.74
Ag (0.0000, 0.0000, 0.0000)  8 Li 2.53-2.67
In (0.5000, 0.7500, 0.2500)  4 Li 2.90
In (0.5000, 0.2500, 0.7500)  4 Li 2.90
In (0.0000, 0.5000, 0.5000)  8 Li 2.70-2.86

---

This record from the Alexandria database describes a geometry-optimized AcTbH2 structure. The functional is GGA-PBE.

For the uncorrected energy, the calculation gives -4.1737 eV/atom. Its symmetry is No. 166.

Lattice parameters (Å, degrees): 3.7258 3.7258 6.4099 73.10 73.10 60.00
Closest atoms and distances in Å follow each position.
Sites, in units of the cell vectors:
Tb (0.0000, 0.0000, 0.0000)  6 H 2.46
Ac (0.5000, 0.5000, 0.5000)  6 H 2.83
H (0.7322, 0.7322, 0.8034)  3 Tb 2.46
H (0.2678, 0.2678, 0.1966)  3 Tb 2.46